1.
The following is a PBEsol calculation of an optimized crystal structure of Si3WSe, from Alexandria.

Summary:
Uncorrected formation energy: 1.7044 eV per atom
Space-group type: Pm-3m, No. 221
Total energy: -5.2752 eV/atom

```
data_Si3WSe
_symmetry_space_group_name_H-M 'P 1'
_symmetry_Int_Tables_number 1
_cell_length_a 4.553
_cell_length_b 4.553
_cell_length_c 4.553
_cell_angle_alpha 90.00
_cell_angle_beta 90.00
_cell_angle_gamma 90.00
loop_
_symmetry_equiv_pos_as_xyz
'x,y,z'
loop_
_atom_site_label
_atom_site_type_symbol
_atom_site_fract_x
_atom_site_fract_y
_atom_site_fract_z
Si1 Si 0.000 0.000 0.500
Si2 Si 0.000 0.500 0.000
Si3 Si 0.500 0.000 0.000
W1 W 0.500 0.500 0.500
Se1 Se 0.000 0.000 0.000
```

2.
The following is a PBEsol calculation of an optimized crystal structure of GeHCS2, from Alexandria.

Summary:
Space-group type: P4/mmm, No. 123
Total energy: -4.0037 eV/atom

```
data_GeHCS2
_symmetry_space_group_name_H-M 'P 1'
_symmetry_Int_Tables_number 1
_cell_length_a 3.895
_cell_length_b 3.895
_cell_length_c 4.678
_cell_angle_alpha 90.00
_cell_angle_beta 90.00
_cell_angle_gamma 90.00
loop_
_symmetry_equiv_pos_as_xyz
'x,y,z'
loop_
_atom_site_label
_atom_site_type_symbol
_atom_site_fract_x
_atom_site_fract_y
_atom_site_fract_z
Ge1 Ge 0.000 0.000 0.000
H1 H 0.500 0.500 0.000
C1 C 0.000 0.000 0.500
S1 S 0.000 0.500 0.500
S2 S 0.500 0.000 0.500
```

3.
The following is a PBEsol calculation of an optimized crystal structure of CdSeCl, from Alexandria.

Summary:
Uncorrected formation energy: 0.0038 eV per atom
E above lowest polymorph: 0.509 eV/f.u.
Space-group type: F-43m, No. 216
Total energy: -2.3479 eV/atom

```
data_CdSeCl
_symmetry_space_group_name_H-M 'P 1'
_symmetry_Int_Tables_number 1
_cell_length_a 4.681
_cell_length_b 4.681
_cell_length_c 4.681
_cell_angle_alpha 60.00
_cell_angle_beta 60.00
_cell_angle_gamma 60.00
loop_
_symmetry_equiv_pos_as_xyz
'x,y,z'
loop_
_atom_site_label
_atom_site_type_symbol
_atom_site_fract_x
_atom_site_fract_y
_atom_site_fract_z
Cd1 Cd 0.000 0.000 0.000
Se1 Se 0.750 0.750 0.750
Cl1 Cl 0.500 0.500 0.500
```

4.
The following is a PBEsol calculation of an optimized crystal structure of Sc2CoHg, from Alexandria.

Summary:
Space-group type: F-43m, No. 216
Total energy: -5.5333 eV/atom

```
data_Sc2CoHg
_symmetry_space_group_name_H-M 'P 1'
_symmetry_Int_Tables_number 1
_cell_length_a 4.558
_cell_length_b 4.558
_cell_length_c 4.558
_cell_angle_alpha 60.00
_cell_angle_beta 60.00
_cell_angle_gamma 60.00
loop_
_symmetry_equiv_pos_as_xyz
'x,y,z'
loop_
_atom_site_label
_atom_site_type_symbol
_atom_site_fract_x
_atom_site_fract_y
_atom_site_fract_z
Sc1 Sc 0.000 0.000 0.000
Sc2 Sc 0.250 0.250 0.250
Co1 Co 0.750 0.750 0.750
Hg1 Hg 0.500 0.500 0.500
```

| no. | density of states at the Fermi level (states/eV/f.u.) |
| --- | --- |
| 1 | 5.54 |
| 2 | 2.71 |
| 3 | 2.22 |
| 4 | 5.06 |